Record 1
A plane-wave DFT calculation with PBE was carried out for a geometry-optimized Li3Cu7As4 structure.

abc: 3.9885 7.4780 7.9907
angles: 69.65 75.55 74.53
Fractional coordinates of all 14 atoms:
Cu (0.4908, 0.2246, 0.7937)
As (0.8892, 0.8998, 0.3218)
Cu (0.3152, 0.8519, 0.5178)
Li (0.6808, 0.8071, 0.8312)
Cu (0.5092, 0.7754, 0.2063)
Cu (0.8514, 0.3855, 0.9116)
Li (0.0000, 0.5000, 0.5000)
As (0.1108, 0.1002, 0.6782)
Li (0.3192, 0.1929, 0.1688)
Cu (0.0000, 0.0000, 0.0000)
Cu (0.6848, 0.1481, 0.4822)
Cu (0.1486, 0.6145, 0.0884)
As (0.6752, 0.4322, 0.2173)
As (0.3248, 0.5678, 0.7827)

E = -3.996 eV per atom
ΔH_f (0 K) = -0.210 eV per atom
M_tot = 0.000 μB per formula unit

Record 2
A plane-wave DFT calculation with PBE was carried out for a geometry-optimized BaPaNbN4 structure.

abc: 6.1803 6.0764 7.6030
angles: 90.00 110.35 90.00
Fractional coordinates of all 14 atoms:
Ba (0.6941, 0.7500, 0.9326)
N (0.9666, 0.0139, 0.6764)
N (0.0334, 0.5139, 0.3236)
Pa (0.1926, 0.2500, 0.5416)
N (0.5050, 0.7500, 0.5675)
N (0.9666, 0.4861, 0.6764)
N (0.5230, 0.2500, 0.8060)
Pa (0.8074, 0.7500, 0.4584)
N (0.4770, 0.7500, 0.1940)
Nb (0.2607, 0.7500, 0.3335)
Nb (0.7393, 0.2500, 0.6665)
N (0.0334, 0.9861, 0.3236)
Ba (0.3059, 0.2500, 0.0674)
N (0.4950, 0.2500, 0.4325)

E = -8.912 eV per atom
M_tot = 0.000 μB per formula unit
ΔE_f (raw) = -1085 meV/atom

Record 3
A plane-wave DFT calculation with PBE was carried out for a geometry-optimized NpTl3Br6Cl2 structure.

abc: 6.6858 9.0478 9.4811
angles: 118.50 97.34 90.00
Site moments in Bohr magnetons follow the coordinates.
Fractional coordinates of all 12 atoms:
Br (0.2669, 0.1309, 0.8364)  -0.08
Cl (0.2528, 0.6634, 0.3269)  -0.05
Tl (0.5000, 0.5000, 0.5000)  -0.02
Br (0.2669, 0.7056, 0.8364)  -0.08
Br (0.7384, 0.8813, 0.7626)  -0.08
Br (0.2616, 0.1187, 0.2374)  -0.08
Cl (0.7472, 0.3366, 0.6731)  -0.05
Br (0.7331, 0.8691, 0.1636)  -0.08
Tl (0.5000, 0.0000, 0.5000)  -0.02
Br (0.7331, 0.2944, 0.1636)  -0.08
Tl (0.0000, 0.5000, 0.0000)  -0.02
Np (0.5000, 0.0000, 0.0000)  2.81

E = -3.812 eV per atom
M_tot = 2.025 μB per formula unit
ΔE_f (raw) = -998 meV/atom

Record 4
A plane-wave DFT calculation with PBE was carried out for a geometry-optimized RbBe3F structure.

abc: 6.7142 6.7142 6.7142
angles: 90.00 90.00 90.00
Site moments in Bohr magnetons follow the coordinates.
Fractional coordinates of all 5 atoms:
Be (0.0000, 0.5000, 0.0000)  0.00
Rb (0.0000, 0.0000, 0.0000)  0.00
F (0.5000, 0.5000, 0.5000)  -0.08
Be (0.5000, 0.0000, 0.0000)  0.00
Be (0.0000, 0.0000, 0.5000)  0.00

E = -1.011 eV per atom
M_tot = 0.069 μB per formula unit
offset from the most stable computed form = 0.796 eV/atom
ΔE_f (raw) = 1793 meV/atom

Record 5
A plane-wave DFT calculation with PBE was carried out for a geometry-optimized LaNi2Os structure.

abc: 5.5195 5.5195 5.5195
angles: 149.27 130.72 59.21
Fractional coordinates of all 4 atoms:
Ni (0.2428, 0.7428, 0.5000)
Os (0.4725, 0.4725, 0.0000)
Ni (0.0274, 0.0274, 0.0000)
La (0.7574, 0.2574, 0.5000)

E = -6.607 eV per atom
ΔH_f (0 K) = 0.323 eV per atom
M_tot = 0.000 μB per formula unit
offset from the most stable computed form = 0.458 eV/atom

Record 6
A plane-wave DFT calculation with PBE was carried out for a geometry-optimized LiPr3Tm3Te8 structure.

abc: 8.7573 8.7571 8.8396
angles: 119.69 90.00 120.00
Fractional coordinates of all 15 atoms:
Pr (0.0000, 0.5000, 0.0000)
Pr (0.5000, 0.5000, 0.0000)
Te (0.7402, 0.9883, 0.7364)
Te (0.7520, 0.5040, 0.2637)
Te (0.7444, 0.4888, 0.7332)
Tm (0.5000, 0.0000, 0.5000)
Te (0.2481, 0.9883, 0.7364)
Te (0.2556, 0.5112, 0.2668)
Te (0.2598, 0.0117, 0.2636)
Te (0.2480, 0.4960, 0.7363)
Pr (0.0000, 0.0000, 0.0000)
Tm (0.0000, 0.5000, 0.5000)
Te (0.7519, 0.0117, 0.2636)
Tm (0.5000, 0.5000, 0.5000)
Li (0.0000, 0.0000, 0.5000)

E = -4.989 eV per atom
M_tot = 0.000 μB per formula unit
ΔE_f (raw) = -1336 meV/atom

Record 7
A plane-wave DFT calculation with PBE was carried out for a geometry-optimized TbMgZrTl structure.

abc: 5.1741 5.1741 5.1741
angles: 60.00 60.00 60.00
Fractional coordinates of all 4 atoms:
Zr (0.2500, 0.2500, 0.2500)
Tb (0.7500, 0.7500, 0.7500)
Mg (0.5000, 0.5000, 0.5000)
Tl (0.0000, 0.0000, 0.0000)

E = -4.351 eV per atom
ΔH_f (0 K) = -0.066 eV per atom
M_tot = 0.000 μB per formula unit